[1]
This record from the Alexandria database describes KTl3Fe after structural relaxation. The functional is GGA-PBE.

Total magnetization = 3.421 Bohr magnetons per cell
Energy of formation = 1.341 eV per atom
Energy relative to the lowest polymorph listed for this composition = 1.200 eV/atom
Crystal system = cubic

a = 6.054 Å, b = 6.054 Å, c = 6.054 Å
α = 90.00°, β = 90.00°, γ = 90.00°
Last column: magnetic moment on the atom in μB.
Element x y z (fractional)
K1 0.000 0.000 0.000  0.00
Tl1 0.000 0.500 0.000  -0.02
Tl2 0.000 0.000 0.500  -0.01
Tl3 0.500 0.000 0.000  -0.01
Fe1 0.500 0.500 0.500  3.32


[2]
This record from the Alexandria database describes KTlFe2 after structural relaxation. The functional is GGA-PBE.

Total magnetization = 5.920 Bohr magnetons per cell
Energy of formation = 0.699 eV per atom
Energy relative to the lowest polymorph listed for this composition = 0.216 eV/atom
Crystal system = trigonal

a = 9.691 Å, b = 9.691 Å, c = 9.691 Å
α = 19.60°, β = 19.60°, γ = 19.60°
Last column: magnetic moment on the atom in μB.
Element x y z (fractional)
Fe1 0.990 0.990 0.990  2.79
Fe2 0.271 0.271 0.271  2.85
K1 0.506 0.506 0.506  0.01
Tl1 0.733 0.733 0.733  0.06


[3]
This record from the Alexandria database describes KTlFe2 after structural relaxation. The functional is GGA-PBE.

Total magnetization = 5.500 Bohr magnetons per cell
Energy of formation = 0.738 eV per atom
Energy relative to the lowest polymorph listed for this composition = 0.254 eV/atom
Crystal system = orthorhombic

a = 6.205 Å, b = 6.205 Å, c = 6.205 Å
α = 151.84°, β = 126.87°, γ = 61.20°
Last column: magnetic moment on the atom in μB.
Element x y z (fractional)
Fe1 0.030 0.030 0.000  2.68
Fe2 0.193 0.693 0.500  2.77
K1 0.488 0.488 0.000  -0.01
Tl1 0.789 0.289 0.500  -0.02


[4]
This record from the Alexandria database describes KTl3Fe after structural relaxation. The functional is GGA-PBE.

Total magnetization = 0.000 Bohr magnetons per cell
Energy of formation = 0.142 eV per atom
Energy relative to the lowest polymorph listed for this composition = 0.000 eV/atom
Crystal system = cubic

a = 5.197 Å, b = 5.197 Å, c = 5.197 Å
α = 90.00°, β = 90.00°, γ = 90.00°
Element x y z (fractional)
K1 0.500 0.500 0.500
Tl1 0.000 0.500 0.000
Tl2 0.000 0.000 0.500
Tl3 0.500 0.000 0.000
Fe1 0.000 0.000 0.000


[5]
This record from the Alexandria database describes K2TlFe after structural relaxation. The functional is GGA-PBE.

Total magnetization = 2.864 Bohr magnetons per cell
Energy of formation = 0.775 eV per atom
Energy relative to the lowest polymorph listed for this composition = 0.319 eV/atom
Crystal system = cubic

a = 5.913 Å, b = 5.913 Å, c = 5.913 Å
α = 60.00°, β = 60.00°, γ = 60.00°
Last column: magnetic moment on the atom in μB.
Element x y z (fractional)
K1 0.250 0.250 0.250  -0.01
K2 0.750 0.750 0.750  -0.01
Tl1 0.500 0.500 0.500  -0.08
Fe1 0.000 0.000 0.000  3.12


[6]
This record from the Alexandria database describes K2TlFe after structural relaxation. The functional is GGA-PBE.

Total magnetization = 2.472 Bohr magnetons per cell
Energy of formation = 0.456 eV per atom
Energy relative to the lowest polymorph listed for this composition = 0.000 eV/atom
Crystal system = orthorhombic

a = 3.797 Å, b = 3.836 Å, c = 10.287 Å
α = 90.00°, β = 90.00°, γ = 90.00°
Last column: magnetic moment on the atom in μB.
Element x y z (fractional)
Fe1 0.500 0.500 0.648  2.73
K1 0.000 0.000 0.928  -0.01
K2 0.500 0.500 0.326  -0.01
Tl1 0.000 0.000 0.598  -0.10


[7]
This record from the Alexandria database describes KTl2Fe after structural relaxation. The functional is GGA-PBE.

Total magnetization = 2.733 Bohr magnetons per cell
Energy of formation = 0.382 eV per atom
Crystal system = monoclinic

a = 4.274 Å, b = 4.274 Å, c = 8.429 Å
α = 74.35°, β = 74.35°, γ = 57.67°
Last column: magnetic moment on the atom in μB.
Element x y z (fractional)
Fe1 0.420 0.420 0.748  2.78
K1 0.241 0.241 0.253  0.00
Tl1 0.034 0.034 0.918  -0.04
Tl2 0.804 0.804 0.582  -0.04


[8]
This record from the Alexandria database describes KTlFe2 after structural relaxation. The functional is GGA-PBE.

Total magnetization = 4.936 Bohr magnetons per cell
Energy of formation = 0.635 eV per atom
Energy relative to the lowest polymorph listed for this composition = 0.151 eV/atom
Crystal system = monoclinic

a = 4.336 Å, b = 4.336 Å, c = 7.932 Å
α = 83.97°, β = 83.97°, γ = 40.62°
Last column: magnetic moment on the atom in μB.
Element x y z (fractional)
Fe1 0.010 0.010 0.927  2.52
Fe2 0.727 0.727 0.869  2.58
K1 0.498 0.498 0.530  -0.02
Tl1 0.265 0.265 0.174  -0.05


[9]
This record from the Alexandria database describes KTlFe2 after structural relaxation. The functional is GGA-PBE.

Total magnetization = 5.032 Bohr magnetons per cell
Energy of formation = 0.634 eV per atom
Energy relative to the lowest polymorph listed for this composition = 0.150 eV/atom
Crystal system = monoclinic

a = 4.843 Å, b = 4.843 Å, c = 6.572 Å
α = 71.14°, β = 71.14°, γ = 49.80°
Last column: magnetic moment on the atom in μB.
Element x y z (fractional)
Fe1 0.960 0.960 0.189  2.53
Fe2 0.540 0.540 0.311  2.53
K1 0.750 0.750 0.750  -0.01
Tl1 0.250 0.250 0.250  -0.08


[10]
This record from the Alexandria database describes KTl4Fe after structural relaxation. The functional is GGA-PBE.

Total magnetization = 3.225 Bohr magnetons per cell
Energy of formation = 0.511 eV per atom
Crystal system = cubic

a = 6.461 Å, b = 6.461 Å, c = 6.461 Å
α = 60.00°, β = 60.00°, γ = 60.00°
Last column: magnetic moment on the atom in μB.
Element x y z (fractional)
K1 0.000 0.000 0.000  0.00
Tl1 0.873 0.376 0.376  -0.01
Tl2 0.376 0.376 0.873  -0.01
Tl3 0.376 0.873 0.376  -0.01
Tl4 0.376 0.376 0.376  -0.01
Fe1 0.750 0.750 0.750  3.21


[11]
This record from the Alexandria database describes KTlFe2 after structural relaxation. The functional is GGA-PBE.

Total magnetization = 10.619 Bohr magnetons per cell
Energy of formation = 0.877 eV per atom
Energy relative to the lowest polymorph listed for this composition = 0.393 eV/atom
Crystal system = tetragonal

a = 4.804 Å, b = 4.804 Å, c = 10.241 Å
α = 76.43°, β = 76.43°, γ = 90.00°
Last column: magnetic moment on the atom in μB.
Element x y z (fractional)
K1 0.500 0.500 0.000  -0.02
K2 0.250 0.750 0.500  -0.02
Tl1 0.000 0.000 0.000  -0.11
Tl2 0.750 0.250 0.500  -0.11
Fe1 0.875 0.125 0.250  2.77
Fe2 0.875 0.625 0.250  2.79
Fe3 0.375 0.125 0.750  2.75
Fe4 0.875 0.125 0.750  2.77


[12]
This record from the Alexandria database describes KZrTl2Fe after structural relaxation. The functional is GGA-PBE.

Total magnetization = 0.041 Bohr magnetons per cell
Energy of formation = 1.122 eV per atom
Crystal system = tetragonal

a = 5.124 Å, b = 4.860 Å, c = 5.124 Å
α = 90.00°, β = 90.00°, γ = 90.00°
Element x y z (fractional)
K1 0.000 0.500 0.000
Tl1 0.000 0.000 0.500
Tl2 0.500 0.000 0.000
Fe1 0.000 0.000 0.000
Zr1 0.500 0.500 0.500


Number 1: DOS at the Fermi energy 10.0 states/eV/cell. Number 2: DOS at the Fermi energy 3.7 states/eV/cell. Number 3: DOS at the Fermi energy 2.5 states/eV/cell. Number 4: DOS at the Fermi energy 0.6 states/eV/cell. Number 5: DOS at the Fermi energy 4.9 states/eV/cell. Number 6: DOS at the Fermi energy 3.1 states/eV/cell. Number 7: DOS at the Fermi energy 2.2 states/eV/cell. Number 8: DOS at the Fermi energy 3.9 states/eV/cell. Number 9: DOS at the Fermi energy 3.0 states/eV/cell. Number 10: DOS at the Fermi energy 4.7 states/eV/cell. Number 11: DOS at the Fermi energy 7.6 states/eV/cell. Number 12: DOS at the Fermi energy 5.3 states/eV/cell.